# CrIn2Co GGA-PBE relaxed
# Energy of formation from the pure elements, meV/atom: 349.3
# Density, g/cm3: 8.17
# Energy, eV for the cell shown: -20.81
data_CrIn2Co
_chemical_formula_sum 'Cr1 In2 Co1'
_symmetry_space_group_name_H-M 'P 1'
_symmetry_Int_Tables_number 1
_cell_length_a 5.191
_cell_length_b 5.191
_cell_length_c 5.191
_cell_angle_alpha 134.85
_cell_angle_beta 134.85
_cell_angle_gamma 65.76
loop_
_symmetry_equiv_pos_as_xyz
'x,y,z'
loop_
_atom_site_label
_atom_site_fract_x
_atom_site_fract_y
_atom_site_fract_z
Co1 0.500 0.500 0.000
Cr1 0.750 0.250 0.500
In1 0.000 0.000 0.000
In2 0.250 0.750 0.500

---

# CrInCo GGA-PBE relaxed
# Energy of formation from the pure elements, meV/atom: 398.5
# Density, g/cm3: 8.17
# Energy, eV for the cell shown: -18.27
data_CrInCo
_chemical_formula_sum 'Cr1 In1 Co1'
_symmetry_space_group_name_H-M 'P 1'
_symmetry_Int_Tables_number 1
_cell_length_a 4.225
_cell_length_b 4.225
_cell_length_c 2.968
_cell_angle_alpha 90.00
_cell_angle_beta 90.00
_cell_angle_gamma 120.00
loop_
_symmetry_equiv_pos_as_xyz
'x,y,z'
loop_
_atom_site_label
_atom_site_fract_x
_atom_site_fract_y
_atom_site_fract_z
Co1 0.000 0.000 0.166
Cr1 0.667 0.333 0.167
In1 0.333 0.667 0.667

---

# Cr2InCo GGA-PBE relaxed
# Energy of formation from the pure elements, meV/atom: 332.1
# Density, g/cm3: 8.11
# Energy, eV for the cell shown: -27.76
data_Cr2InCo
_chemical_formula_sum 'Cr2 In1 Co1'
_symmetry_space_group_name_H-M 'P 1'
_symmetry_Int_Tables_number 1
_cell_length_a 4.903
_cell_length_b 4.903
_cell_length_c 4.341
_cell_angle_alpha 63.75
_cell_angle_beta 63.75
_cell_angle_gamma 38.07
loop_
_symmetry_equiv_pos_as_xyz
'x,y,z'
loop_
_atom_site_label
_atom_site_fract_x
_atom_site_fract_y
_atom_site_fract_z
Co1 0.262 0.262 0.238
Cr1 0.007 0.007 0.993
Cr2 0.729 0.729 0.771
In1 0.502 0.502 0.497

---

# CrIn2Co GGA-PBE relaxed
# Energy of formation from the pure elements, meV/atom: 441.7
# Density, g/cm3: 7.81
# Energy, eV for the cell shown: -20.44
data_CrIn2Co
_chemical_formula_sum 'Cr1 In2 Co1'
_symmetry_space_group_name_H-M 'P 1'
_symmetry_Int_Tables_number 1
_cell_length_a 8.706
_cell_length_b 8.706
_cell_length_c 8.706
_cell_angle_alpha 20.73
_cell_angle_beta 20.73
_cell_angle_gamma 20.73
loop_
_symmetry_equiv_pos_as_xyz
'x,y,z'
loop_
_atom_site_label
_atom_site_fract_x
_atom_site_fract_y
_atom_site_fract_z
Co1 0.250 0.250 0.250
Cr1 0.750 0.750 0.750
In1 0.994 0.994 0.994
In2 0.506 0.506 0.506

---

# Cr2InCo GGA-PBE relaxed
# Energy of formation from the pure elements, meV/atom: 546.6
# Density, g/cm3: 8.18
# Energy, eV for the cell shown: -26.90
data_Cr2InCo
_chemical_formula_sum 'Cr2 In1 Co1'
_symmetry_space_group_name_H-M 'P 1'
_symmetry_Int_Tables_number 1
_cell_length_a 4.651
_cell_length_b 4.651
_cell_length_c 2.820
_cell_angle_alpha 90.00
_cell_angle_beta 90.00
_cell_angle_gamma 112.46
loop_
_symmetry_equiv_pos_as_xyz
'x,y,z'
loop_
_atom_site_label
_atom_site_fract_x
_atom_site_fract_y
_atom_site_fract_z
Co1 0.000 0.500 0.500
Cr1 0.000 0.000 0.000
Cr2 0.500 0.500 0.000
In1 0.500 0.000 0.500

---

# CrInCo GGA-PBE relaxed
# Energy of formation from the pure elements, meV/atom: 266.4
# Density, g/cm3: 8.67
# Energy, eV for the cell shown: -18.67
data_CrInCo
_chemical_formula_sum 'Cr1 In1 Co1'
_symmetry_space_group_name_H-M 'P 1'
_symmetry_Int_Tables_number 1
_cell_length_a 5.694
_cell_length_b 5.694
_cell_length_c 2.849
_cell_angle_alpha 75.51
_cell_angle_beta 75.51
_cell_angle_gamma 28.98
loop_
_symmetry_equiv_pos_as_xyz
'x,y,z'
loop_
_atom_site_label
_atom_site_fract_x
_atom_site_fract_y
_atom_site_fract_z
Co1 0.980 0.980 0.020
Cr1 0.357 0.357 0.643
In1 0.663 0.663 0.337